Entry 1:
# PBE-GGA PmAlTe, relaxed
# Final energy ... -4.0501 eV/atom
# Crystal system ... cubic
# ΔE to the lowest computed polymorph ... 96 meV/atom
# SG ... F-43m
data_PmAlTe
_cell_length_a 5.161
_cell_length_b 5.161
_cell_length_c 5.161
_cell_angle_alpha 60.00
_cell_angle_beta 60.00
_cell_angle_gamma 60.00
_symmetry_space_group_name_H-M 'P 1'
_symmetry_Int_Tables_number 1
loop_
_symmetry_equiv_pos_as_xyz
'x,y,z'
loop_
_atom_site_label
_atom_site_fract_x
_atom_site_fract_y
_atom_site_fract_z
Al1 0.250 0.250 0.250
Pm1 0.000 0.000 0.000
Te1 0.750 0.750 0.750

***

Entry 2:
# PBE-GGA Pr2PdPb, relaxed
# Final energy ... -5.2173 eV/atom
# Crystal system ... orthorhombic
# SG ... Amm2
data_Pr2PdPb
_cell_length_a 4.611
_cell_length_b 6.249
_cell_length_c 6.249
_cell_angle_alpha 39.85
_cell_angle_beta 90.00
_cell_angle_gamma 90.00
_symmetry_space_group_name_H-M 'P 1'
_symmetry_Int_Tables_number 1
loop_
_symmetry_equiv_pos_as_xyz
'x,y,z'
loop_
_atom_site_label
_atom_site_fract_x
_atom_site_fract_y
_atom_site_fract_z
Pb1 0.000 0.580 0.580
Pd1 0.500 0.413 0.413
Pr1 0.500 0.145 0.145
Pr2 0.000 0.862 0.862

***

Entry 3:
# PBE-GGA KPmBi, relaxed
# Final energy ... -3.2883 eV/atom
# Crystal system ... cubic
# ΔE to the lowest computed polymorph ... 0 meV/atom
# SG ... F-43m
data_KPmBi
_cell_length_a 5.515
_cell_length_b 5.515
_cell_length_c 5.515
_cell_angle_alpha 60.00
_cell_angle_beta 60.00
_cell_angle_gamma 60.00
_symmetry_space_group_name_H-M 'P 1'
_symmetry_Int_Tables_number 1
loop_
_symmetry_equiv_pos_as_xyz
'x,y,z'
loop_
_atom_site_label
_atom_site_fract_x
_atom_site_fract_y
_atom_site_fract_z
Bi1 0.250 0.250 0.250
K1 0.750 0.750 0.750
Pm1 0.000 0.000 0.000

***

Entry 4:
# PBE-GGA PaSe2, relaxed
# Final energy ... -6.7144 eV/atom
# Crystal system ... trigonal
# SG ... R3m
data_PaSe2
_cell_length_a 7.224
_cell_length_b 7.224
_cell_length_c 7.224
_cell_angle_alpha 31.46
_cell_angle_beta 31.46
_cell_angle_gamma 31.46
_symmetry_space_group_name_H-M 'P 1'
_symmetry_Int_Tables_number 1
loop_
_symmetry_equiv_pos_as_xyz
'x,y,z'
loop_
_atom_site_label
_atom_site_fract_x
_atom_site_fract_y
_atom_site_fract_z
Pa1 0.667 0.667 0.667
Se1 0.249 0.249 0.249
Se2 0.420 0.420 0.420